1.
A relaxed Th2InTe crystal, computed with PBE.

Values from the calculation:
**ΔE to the lowest computed polymorph**: 0.0000 eV per atom
**Uncorrected formation energy**: -0.654 eV/atom
**V**: 28.89 Å³ per atom
**N(E_F)**: 3.31 states/eV per cell

Cell lengths 3.703, 3.703, 8.429 Å; angles 90.00, 90.00, 90.00 degrees
Space group P4/mmm (No. 123)
One atom of each set of equivalent atoms:
Th1 0.000 0.000 0.241 (multiplicity 2)
In1 0.500 0.500 0.500 (multiplicity 1)
Te1 0.500 0.500 0.000 (multiplicity 1)


2.
A relaxed V3PPb crystal, computed with PBE.

Values from the calculation:
**Formation energy**: 1.790 eV per atom
**ΔE to the lowest computed polymorph**: 1.6002 eV per atom
**V**: 26.32 Å³ per atom
**N(E_F)**: 9.85 states/eV per cell

Cell lengths 5.087, 5.087, 5.087 Å; angles 90.00, 90.00, 90.00 degrees
Space group Pm-3m (No. 221)
One atom of each set of equivalent atoms:
V1 0.000 0.000 0.500 (multiplicity 3)
P1 0.500 0.500 0.500 (multiplicity 1)
Pb1 0.000 0.000 0.000 (multiplicity 1)


3.
A relaxed Sm4Tm3Sb4 crystal, computed with PBE.

Values from the calculation:
**Uncorrected formation energy**: -0.739 eV/atom
**V**: 29.28 Å³ per atom
**N(E_F)**: 23.29 states/eV per cell

Cell lengths 4.008, 9.064, 17.729 Å; angles 90.00, 90.00, 90.00 degrees
Space group Immm (No. 71)
One atom of each set of equivalent atoms:
Sm1 0.000 0.176 0.168 (multiplicity 8)
Tm1 0.000 0.000 0.404 (multiplicity 4)
Tm2 0.000 0.500 0.500 (multiplicity 2)
Sb1 0.000 0.292 0.000 (multiplicity 4)
Sb2 0.000 0.500 0.227 (multiplicity 4)